No. 1
DFT (PBE-GGA) results for a relaxed ZrTaCl crystal.

- density of states at the Fermi level (states/eV/cell) = 3.05
- polymorph energy (0 for the lowest one) (meV per atom) = 525
- formation energy from raw total energies (eV/f.u.) = 0.74
- E (eV/cell) = -21.51
- total magnetization (μB/f.u.) = 0.00

Cell lengths 4.765, 4.765, 2.932 Å; angles 90.00, 90.00, 120.00 degrees
Fractional coordinates of all 3 atoms:
Zr 0.000 0.000 0.000
Ta 0.667 0.333 0.496
Cl 0.333 0.667 0.494

***

No. 2
DFT (PBE-GGA) results for a relaxed Pm6Cu2Ir crystal.

- density of states at the Fermi level (states/eV/cell) = 19.63
- E (eV/cell) = -94.76
- total magnetization (μB/f.u.) = 0.00
- ΔH_f (0 K) (meV/atom) = -202.8

Cell lengths 6.713, 7.427, 12.236 Å; angles 90.00, 121.51, 90.00 degrees
Fractional coordinates of all 18 atoms:
Pm 0.090 0.186 0.430
Pm 0.090 0.314 0.930
Pm 0.250 0.677 0.426
Pm 0.250 0.823 0.926
Pm 0.398 0.040 0.246
Pm 0.398 0.460 0.746
Pm 0.602 0.540 0.254
Pm 0.602 0.960 0.754
Pm 0.750 0.177 0.074
Pm 0.750 0.323 0.574
Pm 0.910 0.686 0.070
Pm 0.910 0.814 0.570
Cu 0.179 0.112 0.739
Cu 0.179 0.388 0.239
Cu 0.821 0.612 0.761
Cu 0.821 0.888 0.261
Ir 0.500 0.000 0.500
Ir 0.500 0.500 0.000

***

No. 3
DFT (PBE-GGA) results for a relaxed PuSi2Pd2 crystal.

- density of states at the Fermi level (states/eV/cell) = 7.68
- formation energy from raw total energies (eV/f.u.) = -3.64
- E (eV/cell) = -39.20
- total magnetization (μB/f.u.) = 5.24

Cell lengths 5.880, 5.880, 5.880 Å; angles 139.00, 139.00, 59.37 degrees
Fractional coordinates of all 5 atoms:
Pu 0.000 0.000 0.000
Si 0.386 0.386 0.000
Si 0.614 0.614 0.000
Pd 0.250 0.750 0.500
Pd 0.750 0.250 0.500

***

No. 4
DFT (PBE-GGA) results for a relaxed ZnMo3 crystal.

- density of states at the Fermi level (states/eV/cell) = 2.86
- polymorph energy (0 for the lowest one) (meV per atom) = 209
- E (eV/cell) = -32.80
- total magnetization (μB/f.u.) = 0.00
- ΔH_f (0 K) (meV/atom) = 240.6

Cell lengths 5.050, 5.050, 2.673 Å; angles 90.00, 90.00, 114.19 degrees
Fractional coordinates of all 4 atoms:
Zn 0.000 0.000 0.000
Mo 0.000 0.500 0.500
Mo 0.500 0.000 0.500
Mo 0.500 0.500 0.000

***

No. 5
DFT (PBE-GGA) results for a relaxed YErRhAu crystal.

- density of states at the Fermi level (states/eV/cell) = 3.41
- polymorph energy (0 for the lowest one) (meV per atom) = 23
- E (eV/cell) = -25.03
- total magnetization (μB/f.u.) = 0.00
- ΔH_f (0 K) (meV/atom) = -843.1

Cell lengths 4.962, 4.962, 4.962 Å; angles 60.00, 60.00, 60.00 degrees
Fractional coordinates of all 4 atoms:
Y 0.000 0.000 0.000
Er 0.500 0.500 0.500
Rh 0.250 0.250 0.250
Au 0.750 0.750 0.750

***

No. 6
DFT (PBE-GGA) results for a relaxed BaP2Cl crystal.

- density of states at the Fermi level (states/eV/cell) = 3.19
- polymorph energy (0 for the lowest one) (meV per atom) = 256
- formation energy from raw total energies (eV/f.u.) = -2.91
- E (eV/cell) = -17.50
- total magnetization (μB/f.u.) = 0.82

Cell lengths 4.807, 4.807, 5.984 Å; angles 90.00, 90.00, 90.00 degrees
Fractional coordinates of all 4 atoms:
Ba 0.000 0.000 0.000
P 0.500 0.500 0.168
P 0.500 0.500 0.832
Cl 0.000 0.000 0.500

***

No. 7
DFT (PBE-GGA) results for a relaxed ZrSc2TaHg crystal.

- density of states at the Fermi level (states/eV/cell) = 8.61
- E (eV/cell) = -28.61
- total magnetization (μB/f.u.) = 0.35
- ΔH_f (0 K) (meV/atom) = 951.3

Cell lengths 4.952, 4.952, 5.353 Å; angles 90.00, 90.00, 90.00 degrees
Fractional coordinates of all 5 atoms:
Zr 0.000 0.000 0.000
Sc 0.000 0.500 0.500
Sc 0.500 0.000 0.500
Ta 0.500 0.500 0.500
Hg 0.500 0.500 0.000

***

No. 8
DFT (PBE-GGA) results for a relaxed Zn2CdB2O6 crystal.

- density of states at the Fermi level (states/eV/cell) = 0.00
- formation energy from raw total energies (eV/f.u.) = -19.99
- E (eV/cell) = -133.11
- total magnetization (μB/f.u.) = 0.00

Cell lengths 6.254, 6.365, 6.732 Å; angles 79.50, 81.07, 83.57 degrees
Fractional coordinates of all 22 atoms:
Zn 0.000 0.000 0.000
Zn 0.168 0.510 0.815
Zn 0.494 0.898 0.093
Zn 0.796 0.208 0.502
Cd 0.316 0.417 0.302
Cd 0.626 0.714 0.586
B 0.114 0.836 0.430
B 0.357 0.091 0.700
B 0.620 0.316 0.913
B 0.859 0.579 0.173
O 0.166 0.197 0.780
O 0.189 0.925 0.229
O 0.237 0.660 0.527
O 0.426 0.428 0.976
O 0.436 0.901 0.810
O 0.471 0.163 0.510
O 0.653 0.659 0.253
O 0.696 0.132 0.040
O 0.734 0.385 0.724
O 0.919 0.912 0.528
O 0.959 0.399 0.281
O 0.963 0.683 0.990

***

No. 9
DFT (PBE-GGA) results for a relaxed NiHg2Sb crystal.

- density of states at the Fermi level (states/eV/cell) = 2.28
- formation energy from raw total energies (eV/f.u.) = 1.43
- E (eV/cell) = -9.08
- total magnetization (μB/f.u.) = 0.00

Cell lengths 4.076, 4.076, 5.070 Å; angles 90.00, 90.00, 90.00 degrees
Fractional coordinates of all 4 atoms:
Ni 0.000 0.000 0.000
Hg 0.000 0.500 0.500
Hg 0.500 0.000 0.500
Sb 0.500 0.500 0.000

***

No. 10
DFT (PBE-GGA) results for a relaxed LiTcAsRh crystal.

- density of states at the Fermi level (states/eV/cell) = 2.74
- E (eV/cell) = -25.31
- total magnetization (μB/f.u.) = 0.00
- ΔH_f (0 K) (meV/atom) = -256.4

Cell lengths 4.205, 4.205, 4.205 Å; angles 60.00, 60.00, 60.00 degrees
Fractional coordinates of all 4 atoms:
Li 0.000 0.000 0.000
Tc 0.250 0.250 0.250
As 0.500 0.500 0.500
Rh 0.750 0.750 0.750

***

No. 11
DFT (PBE-GGA) results for a relaxed Na2YAgAu crystal.

- density of states at the Fermi level (states/eV/cell) = 5.25
- E (eV/cell) = -13.82
- total magnetization (μB/f.u.) = 0.00
- ΔH_f (0 K) (meV/atom) = 281.4

Cell lengths 5.067, 5.067, 5.344 Å; angles 90.00, 90.00, 90.00 degrees
Fractional coordinates of all 5 atoms:
Na 0.000 0.500 0.000
Na 0.500 0.000 0.000
Y 0.000 0.000 0.500
Ag 0.500 0.500 0.000
Au 0.500 0.500 0.500

***

No. 12
DFT (PBE-GGA) results for a relaxed ZnInBi2H crystal.

- density of states at the Fermi level (states/eV/cell) = 2.33
- E (eV/cell) = -14.30
- total magnetization (μB/f.u.) = 0.00

Cell lengths 5.883, 5.883, 3.378 Å; angles 90.00, 90.00, 90.00 degrees
Fractional coordinates of all 5 atoms:
Zn 0.000 0.000 0.000
In 0.500 0.500 0.500
Bi 0.000 0.500 0.000
Bi 0.500 0.000 0.000
H 0.000 0.000 0.500